6
Lattice="4.0805 0.0000 0.0000 2.0403 3.5293 0.1791 2.0403 0.5995 11.8549" Properties=species:S:1:pos:R:3 comment="HoPtBr, relaxed, DFT GGA-PBE" magnetic_moment_mub_per_atom=0.00 crystal_system=monoclinic raw_formation_energy_ev_per_atom=-1.3992 space_group=C2/m pbc="T T T"
Ho 6.1208 3.4206 2.3279
Ho 2.0403 0.7082 9.7062
Pt 4.0805 2.3207 0.7546
Pt 4.0805 1.8081 11.2794
Br 2.0403 0.9746 4.0402
Br 6.1208 3.1542 7.9938

=====

11
Lattice="-2.3309 -1.6357 2.1346 -0.9357 -5.5023 -5.2382 7.3223 -4.5806 4.4856" Properties=species:S:1:pos:R:3 comment="Er4Cd5Pt2, relaxed, DFT GGA-PBE" magnetic_moment_mub_per_atom=0.00 crystal_system=monoclinic space_group=P2/m e_form_ev_per_atom=-0.637 pbc="T T T"
Er 2.1538 -7.6333 -0.5308
Er 4.9432 -5.6552 4.0310
Er 1.9018 -4.0854 1.9128
Er -0.8876 -6.0634 -2.6490
Cd 1.8304 -4.4563 -1.4161
Cd 0.9183 -1.7204 -0.3156
Cd -0.4679 -2.7512 -2.6191
Cd 5.4683 -8.3625 -0.4370
Cd 4.5561 -5.6267 0.6635
Pt 4.6347 -3.3320 2.5078
Pt 1.7518 -6.7510 -3.2604

=====

8
Lattice="4.0371 0.0000 0.0000 0.0000 6.9483 -0.1181 0.0000 2.4666 6.5762" Properties=species:S:1:pos:R:3 comment="Pu4GePS2, relaxed, DFT GGA-PBE" magnetic_moment_mub_per_atom=2.62 crystal_system=monoclinic raw_formation_energy_ev_per_atom=-1.2210 space_group=P2/m pbc="T T T"
Pu 0.0001 7.0904 4.8743
Pu 4.0371 2.3245 1.5838
Pu 2.0186 5.8597 1.4979
Pu 2.0186 3.5552 4.9603
Ge 0.0000 4.7074 3.2291
P 2.0186 5.9408 6.5172
S 0.0000 2.4666 6.5762
S 2.0186 1.2333 3.2881

=====

12
Lattice="-0.8020 2.3388 6.4429 -5.2864 -3.0066 -3.2615 3.8797 -5.5639 1.2719" Properties=species:S:1:pos:R:3 comment="Y3ErTm2P6, relaxed, DFT GGA-PBE" magnetic_moment_mub_per_atom=0.00 crystal_system=monoclinic space_group=C2/m e_form_ev_per_atom=-1.617 pbc="T T T"
Y -2.5998 -4.8984 -1.0095
Y 0.3911 -1.3333 5.4627
Y -1.1044 -3.1159 2.2266
Er 0.0000 0.0000 0.0000
Tm -3.7917 -1.2250 -0.0270
Tm -2.2967 0.5571 3.2084
P -0.8982 -3.8032 4.9687
P -3.5993 -1.8688 2.6926
P -1.3105 -2.4285 -0.5154
P -2.3962 -5.5888 1.7271
P 1.3906 -4.3629 1.7606
P 0.1875 -0.6429 2.7262

=====

16
Lattice="10.3147 0.0000 0.0000 0.0000 10.5146 -0.1945 -5.1574 -5.3903 7.9325" Properties=species:S:1:pos:R:3 comment="Cs4K3SnI8, relaxed, DFT GGA-PBE" magnetic_moment_mub_per_atom=0.06 crystal_system=monoclinic raw_formation_energy_ev_per_atom=-1.2847 space_group=C2/m pbc="T T T"
Cs 5.1574 0.0000 0.0000
Cs 2.5787 -2.6951 3.9663
Cs 0.0000 0.0000 0.0000
Cs -2.5787 -2.6951 3.9663
K 5.1574 5.2573 -0.0973
K 2.5787 2.5622 3.8690
K -2.5787 2.5622 3.8690
Sn 0.0000 5.2573 -0.0973
I -2.7406 2.1588 7.6604
I 0.0000 4.9780 4.0871
I 0.0000 0.1091 4.0199
I 2.7406 2.1588 7.6604
I 2.4167 2.9656 0.0776
I 5.1574 5.0152 3.7181
I 5.1574 0.1463 3.6509
I 7.8980 2.9656 0.0776

=====

5
Lattice="-2.7159 -1.5449 3.7401 1.4110 -4.3908 -0.7891 3.7703 0.6699 3.0145" Properties=species:S:1:pos:R:3 comment="TaTi2CrI, relaxed, DFT GGA-PBE" magnetic_moment_mub_per_atom=0.46 crystal_system=tetragonal raw_formation_energy_ev_per_atom=1.4589 space_group=P4/mmm pbc="T T T"
I 0.0000 0.0000 0.0000
Cr 0.7055 -2.1954 -0.3945
Ti 1.8852 0.3349 1.5073
Ti -1.3580 -0.7725 1.8701
Ta 1.2327 -2.6329 2.9828

=====

5
Lattice="4.0454 0.0000 0.0000 0.0000 4.0454 0.0000 0.0000 0.0000 4.9749" Properties=species:S:1:pos:R:3 comment="TaCdSN2, relaxed, DFT GGA-PBE" magnetic_moment_mub_per_atom=0.02 crystal_system=tetragonal raw_formation_energy_ev_per_atom=1.9309 space_group=P4/mmm relative_energy_ev_per_atom=1.936 pbc="T T T"
N 0.0000 2.0227 0.0000
N 2.0227 0.0000 0.0000
S 0.0000 0.0000 2.4875
Cd 0.0000 0.0000 0.0000
Ta 2.0227 2.0227 2.4875

=====

5
Lattice="5.7253 0.0000 0.0000 0.0000 4.7722 0.0000 0.0000 0.0000 5.7253" Properties=species:S:1:pos:R:3 comment="MgSiPb2Cl, relaxed, DFT GGA-PBE" magnetic_moment_mub_per_atom=0.00 crystal_system=tetragonal raw_formation_energy_ev_per_atom=0.4107 space_group=P4/mmm relative_energy_ev_per_atom=0.000 pbc="T T T"
Pb 0.0000 0.0000 2.8627
Pb 2.8627 0.0000 0.0000
Si 0.0000 2.3861 0.0000
Mg 0.0000 0.0000 0.0000
Cl 2.8627 2.3861 2.8627